Computed, not measured: a relaxed structure of Re2BrCl at the PBE-GGA level of DFT.

a = 3.018 Å, b = 3.018 Å, c = 8.958 Å
α = 90.00°, β = 90.00°, γ = 123.68°
Fractional coordinates of all 4 atoms:
Re: 0.000 0.000 0.243
Re: 0.000 0.000 0.757
Br: 0.500 0.500 0.500
Cl: 0.500 0.500 0.000

Results
SG: No. 65
Electronic total energy in eV per atom: -5.74
Magnetization in μB per cell: 1.6
Raw formation energy in eV/atom: 1.363

---

Computed, not measured: a relaxed structure of Re2BrCl at the PBE-GGA level of DFT.

a = 9.676 Å, b = 9.676 Å, c = 9.676 Å
α = 17.95°, β = 17.95°, γ = 17.95°
Fractional coordinates of all 4 atoms:
Re: 0.000 0.000 0.000
Re: 0.263 0.263 0.263
Br: 0.523 0.523 0.523
Cl: 0.733 0.733 0.733

Results
SG: No. 160
Electronic total energy in eV per atom: -6.74
Magnetization in μB per cell: 0.0
Raw formation energy in eV/atom: 0.367

---

Computed, not measured: a relaxed structure of Re2BrCl at the PBE-GGA level of DFT.

a = 4.522 Å, b = 4.522 Å, c = 5.254 Å
α = 100.96°, β = 100.96°, γ = 38.29°
Fractional coordinates of all 4 atoms:
Re: 0.248 0.248 0.284
Re: 0.752 0.752 0.716
Br: 0.500 0.500 0.000
Cl: 0.000 0.000 0.500

Results
SG: No. 12
Electronic total energy in eV per atom: -5.87
Magnetization in μB per cell: 0.0
Raw formation energy in eV/atom: 1.229

---

Computed, not measured: a relaxed structure of Re2Br8Cl at the PBE-GGA level of DFT.

a = 7.399 Å, b = 7.399 Å, c = 7.933 Å
α = 90.60°, β = 90.60°, γ = 107.51°
Fractional coordinates of all 11 atoms:
Re: 0.107 0.107 0.290
Re: 0.893 0.893 0.710
Br: 0.118 0.708 0.709
Br: 0.181 0.181 0.598
Br: 0.292 0.882 0.291
Br: 0.369 0.369 0.201
Br: 0.631 0.631 0.799
Br: 0.708 0.118 0.709
Br: 0.819 0.819 0.402
Br: 0.882 0.292 0.291
Cl: 0.000 0.000 0.000

Results
SG: No. 12
Electronic total energy in eV per atom: -3.86
Magnetization in μB per cell: 5.0
Raw formation energy in eV/atom: -0.211

---

Computed, not measured: a relaxed structure of Re2BrCl at the PBE-GGA level of DFT.

a = 8.747 Å, b = 8.747 Å, c = 8.747 Å
α = 151.66°, β = 151.66°, γ = 40.51°
Fractional coordinates of all 8 atoms:
Re: 0.033 0.625 0.908
Re: 0.375 0.283 0.408
Re: 0.717 0.125 0.092
Re: 0.875 0.967 0.592
Br: 0.250 0.750 0.500
Br: 0.500 0.500 0.000
Cl: 0.000 0.000 0.000
Cl: 0.750 0.250 0.500

Results
SG: No. 122
Electronic total energy in eV per atom: -6.01
Magnetization in μB per cell: 0.0
Raw formation energy in eV/atom: 1.097

---

Computed, not measured: a relaxed structure of ReBrCl3 at the PBE-GGA level of DFT.

a = 9.982 Å, b = 5.982 Å, c = 12.088 Å
α = 90.00°, β = 124.30°, γ = 90.00°
Fractional coordinates of all 20 atoms:
Re: 0.115 0.017 0.186
Re: 0.115 0.483 0.686
Re: 0.885 0.517 0.314
Re: 0.885 0.983 0.814
Br: 0.329 0.704 0.867
Br: 0.329 0.796 0.367
Br: 0.671 0.204 0.633
Br: 0.671 0.296 0.133
Cl: 0.099 0.248 0.842
Cl: 0.099 0.252 0.342
Cl: 0.114 0.705 0.518
Cl: 0.114 0.795 0.018
Cl: 0.291 0.237 0.691
Cl: 0.291 0.263 0.191
Cl: 0.709 0.737 0.809
Cl: 0.709 0.763 0.309
Cl: 0.886 0.205 0.982
Cl: 0.886 0.295 0.482
Cl: 0.901 0.748 0.658
Cl: 0.901 0.752 0.158

Results
SG: No. 14
Electronic total energy in eV per atom: -4.36
Magnetization in μB per cell: 12.0
Raw formation energy in eV/atom: -0.426

---

Computed, not measured: a relaxed structure of ReBrCl at the PBE-GGA level of DFT.

a = 6.858 Å, b = 6.858 Å, c = 6.858 Å
α = 153.60°, β = 153.60°, γ = 37.69°
Fractional coordinates of all 3 atoms:
Re: 0.000 0.000 0.000
Br: 0.396 0.396 0.000
Cl: 0.634 0.634 0.000

Results
SG: No. 107
Electronic total energy in eV per atom: -4.51
Magnetization in μB per cell: 0.0
Raw formation energy in eV/atom: 0.809

---

Computed, not measured: a relaxed structure of ReBr2Cl6 at the PBE-GGA level of DFT.

a = 8.283 Å, b = 8.468 Å, c = 11.206 Å
α = 90.00°, β = 126.90°, γ = 90.00°
Fractional coordinates of all 18 atoms:
Re: 0.000 0.000 0.000
Re: 0.000 0.500 0.500
Br: 0.427 0.155 0.660
Br: 0.427 0.345 0.160
Br: 0.573 0.655 0.840
Br: 0.573 0.845 0.340
Cl: 0.084 0.228 0.568
Cl: 0.084 0.272 0.068
Cl: 0.236 0.527 0.455
Cl: 0.236 0.973 0.955
Cl: 0.237 0.574 0.756
Cl: 0.237 0.926 0.256
Cl: 0.763 0.074 0.744
Cl: 0.763 0.426 0.244
Cl: 0.764 0.027 0.045
Cl: 0.764 0.473 0.545
Cl: 0.916 0.728 0.932
Cl: 0.916 0.772 0.432

Results
SG: No. 14
Electronic total energy in eV per atom: -3.31
Magnetization in μB per cell: 6.0
Raw formation energy in eV/atom: -0.325

---

Computed, not measured: a relaxed structure of ReBrCl at the PBE-GGA level of DFT.

a = 8.119 Å, b = 8.119 Å, c = 9.244 Å
α = 111.24°, β = 111.24°, γ = 49.50°
Fractional coordinates of all 18 atoms:
Re: 0.024 0.976 0.500
Re: 0.135 0.390 0.855
Re: 0.296 0.374 0.689
Re: 0.374 0.296 0.189
Re: 0.390 0.135 0.355
Re: 0.976 0.024 0.000
Br: 0.184 0.795 0.752
Br: 0.362 0.838 0.154
Br: 0.385 0.969 0.577
Br: 0.795 0.184 0.252
Br: 0.838 0.362 0.654
Br: 0.969 0.385 0.077
Cl: 0.047 0.437 0.449
Cl: 0.290 0.628 0.359
Cl: 0.437 0.047 0.949
Cl: 0.628 0.290 0.859
Cl: 0.754 0.946 0.467
Cl: 0.946 0.754 0.967

Results
SG: No. 9
Electronic total energy in eV per atom: -5.09
Magnetization in μB per cell: 0.0
Raw formation energy in eV/atom: 0.230

---

Computed, not measured: a relaxed structure of ReBrCl3 at the PBE-GGA level of DFT.

a = 7.355 Å, b = 7.355 Å, c = 7.355 Å
α = 126.70°, β = 109.45°, γ = 93.98°
Fractional coordinates of all 10 atoms:
Re: 0.000 0.200 0.200
Re: 0.000 0.800 0.800
Br: 0.172 0.672 0.500
Br: 0.828 0.328 0.500
Cl: 0.195 0.195 0.000
Cl: 0.270 0.231 0.502
Cl: 0.270 0.769 0.039
Cl: 0.730 0.231 0.961
Cl: 0.730 0.769 0.498
Cl: 0.805 0.805 0.000

Results
SG: No. 71
Electronic total energy in eV per atom: -4.44
Magnetization in μB per cell: 2.0
Raw formation energy in eV/atom: -0.506

---

Computed, not measured: a relaxed structure of Re2BrCl at the PBE-GGA level of DFT.

a = 5.395 Å, b = 5.395 Å, c = 5.395 Å
α = 149.26°, β = 122.71°, γ = 66.43°
Fractional coordinates of all 4 atoms:
Re: 0.233 0.233 0.000
Re: 0.767 0.767 0.000
Br: 0.500 0.000 0.500
Cl: 0.000 0.500 0.500

Results
SG: No. 71
Electronic total energy in eV per atom: -5.77
Magnetization in μB per cell: 0.0
Raw formation energy in eV/atom: 1.339

---

Computed, not measured: a relaxed structure of Re2BrCl8 at the PBE-GGA level of DFT.

a = 6.921 Å, b = 6.921 Å, c = 7.635 Å
α = 93.21°, β = 93.21°, γ = 109.29°
Fractional coordinates of all 11 atoms:
Re: 0.090 0.090 0.160
Re: 0.910 0.910 0.840
Br: 0.000 0.000 0.500
Cl: 0.121 0.719 0.809
Cl: 0.209 0.209 0.896
Cl: 0.281 0.879 0.191
Cl: 0.363 0.363 0.287
Cl: 0.637 0.637 0.713
Cl: 0.719 0.121 0.809
Cl: 0.791 0.791 0.104
Cl: 0.879 0.281 0.191

Results
SG: No. 12
Electronic total energy in eV per atom: -4.25
Magnetization in μB per cell: 1.0
Raw formation energy in eV/atom: -0.488

---

Computed, not measured: a relaxed structure of ReBrCl4 at the PBE-GGA level of DFT.

a = 5.767 Å, b = 5.767 Å, c = 5.767 Å
α = 60.00°, β = 60.00°, γ = 60.00°
Fractional coordinates of all 6 atoms:
Re: 0.000 0.000 0.000
Br: 0.750 0.750 0.750
Cl: 0.374 0.374 0.374
Cl: 0.374 0.374 0.877
Cl: 0.374 0.877 0.374
Cl: 0.877 0.374 0.374

Results
SG: No. 216
Electronic total energy in eV per atom: -2.27
Magnetization in μB per cell: 4.2
Raw formation energy in eV/atom: 1.316

---

Computed, not measured: a relaxed structure of ReBrCl at the PBE-GGA level of DFT.

a = 4.837 Å, b = 4.837 Å, c = 4.837 Å
α = 60.00°, β = 60.00°, γ = 60.00°
Fractional coordinates of all 3 atoms:
Re: 0.000 0.000 0.000
Br: 0.250 0.250 0.250
Cl: 0.500 0.500 0.500

Results
SG: No. 216
Electronic total energy in eV per atom: -3.73
Magnetization in μB per cell: 5.0
Raw formation energy in eV/atom: 1.595

---

Computed, not measured: a relaxed structure of ReBrCl4 at the PBE-GGA level of DFT.

a = 5.223 Å, b = 6.783 Å, c = 13.919 Å
α = 90.00°, β = 92.91°, γ = 90.00°
Fractional coordinates of all 12 atoms:
Re: 0.000 0.000 0.000
Re: 0.000 0.500 0.500
Br: 0.500 0.000 0.000
Br: 0.500 0.500 0.500
Cl: 0.011 0.210 0.584
Cl: 0.011 0.290 0.084
Cl: 0.019 0.672 0.642
Cl: 0.019 0.828 0.142
Cl: 0.981 0.172 0.858
Cl: 0.981 0.328 0.358
Cl: 0.989 0.710 0.916
Cl: 0.989 0.790 0.416

Results
SG: No. 14
Electronic total energy in eV per atom: -3.97
Magnetization in μB per cell: 4.0
Raw formation energy in eV/atom: -0.381

---

Computed, not measured: a relaxed structure of ReBr3Cl at the PBE-GGA level of DFT.

a = 9.928 Å, b = 6.452 Å, c = 12.107 Å
α = 90.00°, β = 121.40°, γ = 90.00°
Fractional coordinates of all 20 atoms:
Re: 0.116 0.073 0.182
Re: 0.116 0.427 0.682
Re: 0.884 0.573 0.318
Re: 0.884 0.927 0.818
Br: 0.107 0.727 0.540
Br: 0.107 0.773 0.040
Br: 0.118 0.096 0.806
Br: 0.118 0.404 0.306
Br: 0.318 0.249 0.160
Br: 0.318 0.251 0.660
Br: 0.682 0.749 0.340
Br: 0.682 0.751 0.840
Br: 0.882 0.596 0.694
Br: 0.882 0.904 0.194
Br: 0.893 0.227 0.960
Br: 0.893 0.273 0.460
Cl: 0.298 0.588 0.868
Cl: 0.298 0.912 0.368
Cl: 0.702 0.088 0.632
Cl: 0.702 0.412 0.132

Results
SG: No. 14
Electronic total energy in eV per atom: -4.13
Magnetization in μB per cell: 12.0
Raw formation energy in eV/atom: -0.270

---

Computed, not measured: a relaxed structure of ReBrCl3 at the PBE-GGA level of DFT.

a = 4.781 Å, b = 4.781 Å, c = 4.781 Å
α = 90.00°, β = 90.00°, γ = 90.00°
Fractional coordinates of all 5 atoms:
Re: 0.000 0.000 0.000
Br: 0.500 0.500 0.500
Cl: 0.000 0.000 0.500
Cl: 0.000 0.500 0.000
Cl: 0.500 0.000 0.000

Results
SG: No. 221
Electronic total energy in eV per atom: -3.75
Magnetization in μB per cell: 1.3
Raw formation energy in eV/atom: 0.181

---

Computed, not measured: a relaxed structure of ReBr3Cl at the PBE-GGA level of DFT.

a = 5.031 Å, b = 5.031 Å, c = 5.031 Å
α = 90.00°, β = 90.00°, γ = 90.00°
Fractional coordinates of all 5 atoms:
Re: 0.000 0.000 0.000
Br: 0.000 0.000 0.500
Br: 0.000 0.500 0.000
Br: 0.500 0.000 0.000
Cl: 0.500 0.500 0.500

Results
SG: No. 221
Electronic total energy in eV per atom: -3.50
Magnetization in μB per cell: 1.4
Raw formation energy in eV/atom: 0.360

---

Computed, not measured: a relaxed structure of ReBr2Cl3 at the PBE-GGA level of DFT.

a = 7.896 Å, b = 7.896 Å, c = 10.295 Å
α = 113.96°, β = 113.96°, γ = 53.89°
Fractional coordinates of all 12 atoms:
Re: 0.195 0.805 0.750
Re: 0.805 0.195 0.250
Br: 0.256 0.526 0.537
Br: 0.474 0.744 0.963
Br: 0.526 0.256 0.037
Br: 0.744 0.474 0.463
Cl: 0.054 0.671 0.816
Cl: 0.116 0.884 0.250
Cl: 0.329 0.946 0.684
Cl: 0.671 0.054 0.316
Cl: 0.884 0.116 0.750
Cl: 0.946 0.329 0.184

Results
SG: No. 15
Electronic total energy in eV per atom: -3.97
Magnetization in μB per cell: 4.0
Raw formation energy in eV/atom: -0.418

---

Computed, not measured: a relaxed structure of ReBrCl at the PBE-GGA level of DFT.

a = 3.615 Å, b = 3.615 Å, c = 6.500 Å
α = 90.00°, β = 90.00°, γ = 120.00°
Fractional coordinates of all 3 atoms:
Re: 0.000 0.000 0.000
Br: 0.667 0.333 0.228
Cl: 0.333 0.667 0.795

Results
SG: No. 156
Electronic total energy in eV per atom: -4.89
Magnetization in μB per cell: 1.0
Raw formation energy in eV/atom: 0.431